No. 1
KCuAu2F8, optimized geometry, DFT GGA-PBE; energy relative to the elements, uncorrected = -1.1623 eV/atom; symmetry = R-3m (166)
1.0
5.4611 0.0000 0.0000
2.7305 4.7294 0.0000
2.7305 1.5765 9.0219
Au F K Cu
2 8 1 1
direct
0.7405 0.7405 0.7786
0.2595 0.2595 0.2214
0.6194 0.1372 0.6240
0.3806 0.8628 0.3760
0.1372 0.6194 0.6240
0.3351 0.3351 0.9948
0.8628 0.3806 0.3760
0.6649 0.6649 0.0052
0.3806 0.3806 0.3760
0.6194 0.6194 0.6240
0.0000 0.0000 0.0000
0.5000 0.5000 0.5000

No. 2
KCuAuF6, optimized geometry, DFT GGA-PBE; energy relative to the elements, uncorrected = -1.6071 eV/atom; symmetry = P1 (1)
1.0
-6.2313 0.3248 -2.0740
-4.3693 -3.0202 2.2193
-1.4174 3.8945 3.2557
Au F K Cu
1 6 1 1
direct
0.3405 0.3188 0.5001
0.3408 0.6148 0.2962
0.0431 0.6150 0.7034
0.6612 0.4019 0.7180
0.3741 0.9905 0.6972
0.9374 0.4011 0.2816
0.6361 0.9903 0.3034
0.9937 0.0123 0.9997
0.6729 0.6554 0.5003

Repeat the first record exactly.
KCuAu2F8, optimized geometry, DFT GGA-PBE; energy relative to the elements, uncorrected = -1.1623 eV/atom; symmetry = R-3m (166)
1.0
5.4611 0.0000 0.0000
2.7305 4.7294 0.0000
2.7305 1.5765 9.0219
Au F K Cu
2 8 1 1
direct
0.7405 0.7405 0.7786
0.2595 0.2595 0.2214
0.6194 0.1372 0.6240
0.3806 0.8628 0.3760
0.1372 0.6194 0.6240
0.3351 0.3351 0.9948
0.8628 0.3806 0.3760
0.6649 0.6649 0.0052
0.3806 0.3806 0.3760
0.6194 0.6194 0.6240
0.0000 0.0000 0.0000
0.5000 0.5000 0.5000

Question: The lowest energy relative to the elements, uncorrected belongs to which entry?
Answer: KCuAuF6

Question: Which of these has the highest energy relative to the elements, uncorrected?
Answer: KCuAu2F8